A relaxed NaNiIrF6 crystal. Source: Alexandria, functional PBE with a Hubbard U.

abc: 5.3824 5.3824 9.6773
angles: 90.00 90.00 120.00
Closest atoms and distances in Å follow each position.
Space group P-31c (No. 163)
Unique sites:
1 Na 0.0000 0.0000 0.0000 (multiplicity 2)  6 F 2.34
2 Ni 0.3333 0.6667 0.2500 (multiplicity 2)  6 F 2.04
3 Ir 0.3333 0.6667 0.7500 (multiplicity 2)  6 F 2.04
4 F 0.9997 0.3520 0.1409 (multiplicity 12)  1 Ir 2.04, 1 Ni 2.04

For the uncorrected energy, the calculation gives -4.607 eV per atom.